# 1
VASP calculation (PBE) on crystalline ScTeAs at its relaxed geometry.

**Space-group type**: Fmm2 (42)
**Theoretical density**: 5.330 g cm⁻³
**Raw total energy**: -5.2257 eV per atom
**Uncorrected formation energy**: -0.518 eV per atom

Cell lengths 7.8051, 7.6790, 3.2576 Å; angles 80.03, 75.70, 24.27 degrees
Element x y z (fractional)
Sc 0.0000 0.0000 0.0000
Te 0.3551 0.3551 0.6449
As 0.6187 0.6187 0.3813



# 2
VASP calculation (PBE) on crystalline Nb2InHRh at its relaxed geometry.

**Space-group type**: P4/mmm (123)
**Theoretical density**: 9.216 g cm⁻³
**Raw total energy**: -6.8991 eV per atom

Cell lengths 4.1351, 4.1351, 4.2631 Å; angles 90.00, 90.00, 90.00 degrees
Element x y z (fractional)
Nb 0.0000 0.5000 0.0000
Nb 0.5000 0.0000 0.0000
In 0.0000 0.0000 0.5000
H 0.5000 0.5000 0.0000
Rh 0.5000 0.5000 0.5000



| no. | N(E_F) (states/eV/f.u.) |
| --- | --- |
| 1 | 2.71 |
| 2 | 4.86 |